(1)
## Ac2NpRhN5 (PBE-GGA)

Data for Ac2NpRhN5 after structural relaxation.

abc: 3.5431 7.1430 11.3655
angles: 90.00 90.00 104.36
Site moments in Bohr magnetons follow the coordinates.
Fractional coordinates of all 18 atoms:
Ac  0.0983  0.1966  0.6825  -0.01
Ac  0.8600  0.7200  0.8077  0.00
N  0.9425  0.8849  0.5586  -0.03
Rh  0.5287  0.0573  0.9536  -0.03
N  0.6766  0.3533  0.8971  -0.03
N  0.6451  0.2901  0.4930  -0.02
Ac  0.9017  0.8034  0.1825  -0.01
Rh  0.4713  0.9427  0.4536  -0.03
Np  0.7968  0.5936  0.5160  0.63
N  0.0575  0.1151  0.0586  -0.03
Np  0.2032  0.4064  0.0160  0.63
N  0.3549  0.7099  0.9930  -0.02
N  0.7187  0.4375  0.1325  -0.04
Ac  0.1400  0.2800  0.3077  0.00
N  0.5102  0.0203  0.2831  -0.02
N  0.4898  0.9797  0.7831  -0.02
N  0.3234  0.6467  0.3971  -0.03
N  0.2813  0.5625  0.6325  -0.04

## Properties
N(E_F) = 9.5 states/eV/cell
space-group type = Cmc2_1
V = 15.5 Å³/atom
final energy = -153.646 eV/cell

=====

(2)
## AcNp2RhN4 (PBE-GGA)

Data for AcNp2RhN4 after structural relaxation.

abc: 3.5236 6.1039 11.7524
angles: 90.00 90.00 106.78
Site moments in Bohr magnetons follow the coordinates.
Fractional coordinates of all 16 atoms:
N  0.7373  0.4746  0.9023  -0.14
N  0.2627  0.5254  0.4023  -0.14
N  0.2627  0.5254  0.0977  -0.14
N  0.0000  0.0000  0.0000  -0.17
Rh  0.1599  0.3198  0.2500  -0.31
Rh  0.8401  0.6802  0.7500  -0.31
Np  0.3698  0.7396  0.9444  2.66
Ac  0.8962  0.7925  0.2500  0.01
Np  0.6302  0.2604  0.0556  2.66
Np  0.3698  0.7396  0.5556  2.66
N  0.5600  0.1199  0.2500  -0.09
Ac  0.1038  0.2075  0.7500  0.01
N  0.4400  0.8801  0.7500  -0.09
Np  0.6302  0.2604  0.4444  2.66
N  0.7373  0.4746  0.5977  -0.14
N  0.0000  0.0000  0.5000  -0.17

## Properties
N(E_F) = 22.0 states/eV/cell
space-group type = Cmcm
V = 15.1 Å³/atom
final energy = -155.875 eV/cell

=====

(3)
## Ac2NpS2N2 (PBE-GGA)

Data for Ac2NpS2N2 after structural relaxation.

abc: 4.3984 4.3984 8.3745
angles: 105.22 105.22 90.00
Site moments in Bohr magnetons follow the coordinates.
Fractional coordinates of all 7 atoms:
S  0.1776  0.1776  0.3552  -0.02
N  0.0000  0.5000  0.0000  -0.12
N  0.5000  0.0000  0.0000  -0.12
Ac  0.3731  0.3731  0.7463  0.06
S  0.8224  0.8224  0.6448  -0.02
Ac  0.6269  0.6269  0.2537  0.06
Np  0.0000  0.0000  0.0000  2.83

## Properties
N(E_F) = 9.3 states/eV/cell
space-group type = I4/mmm
V = 21.5 Å³/atom
final energy = -57.592 eV/cell

=====

(4)
## Ac2NpSb2N2 (PBE-GGA)

Data for Ac2NpSb2N2 after structural relaxation.

abc: 4.4669 6.5991 7.3176
angles: 64.65 72.23 70.22
Site moments in Bohr magnetons follow the coordinates.
Fractional coordinates of all 7 atoms:
N  0.8259  0.2707  0.0776  -0.06
Ac  0.7978  0.6593  0.7451  -0.01
N  0.1741  0.7293  0.9224  -0.06
Ac  0.2022  0.3407  0.2549  -0.01
Np  0.0000  0.0000  0.0000  1.86
Sb  0.4576  0.7640  0.3209  -0.04
Sb  0.5424  0.2360  0.6791  -0.04

## Properties
N(E_F) = 7.4 states/eV/cell
space-group type = C2/m
V = 25.7 Å³/atom
final energy = -54.120 eV/cell

=====

no.,uncorrected formation energy (eV per formula unit)
1,-6.7
2,-7.3
3,-11.5
4,-8.1